# LuCdAg2 (PBE, relaxed)
data_LuCdAg2
_cell_length_a 4.635
_cell_length_b 4.635
_cell_length_c 3.979
_cell_angle_alpha 90.00
_cell_angle_beta 90.00
_cell_angle_gamma 90.00
_symmetry_space_group_name_H-M 'P 4/m m m'
_symmetry_Int_Tables_number 123
_symmetry_space_group_name_Hall '-P 4 2'
loop_
_atom_site_label
_atom_site_type_symbol
_atom_site_fract_x
_atom_site_fract_y
_atom_site_fract_z
Lu1 Lu 0.000 0.000 0.000
Cd1 Cd 0.500 0.500 0.000
Ag1 Ag 0.000 0.500 0.500
# VASP energy = -11.8 eV for the cell shown
# ΔE to the lowest computed polymorph = 98 meV per atom